# 1
A relaxed structure of Cd2OsC6N6. Source: Alexandria, functional PBEsol.

Cell lengths 6.3228, 6.3228, 6.6450 Å; angles 90.00, 90.00, 120.00 degrees
Closest atoms and distances in Å follow each position.
Positions (direct):
Cd 0.6667 0.3333 0.5000  6 N 2.35
Cd 0.3333 0.6667 0.5000  6 N 2.35
Os 0.0000 0.0000 0.0000  6 C 2.00
C 0.0000 0.7508 0.1846  1 N 1.19
C 0.7508 0.0000 0.1846  1 N 1.19
C 0.2492 0.2492 0.1846  1 N 1.19
C 0.7508 0.7508 0.8154  1 N 1.19
C 0.2492 0.0000 0.8154  1 N 1.19
C 0.0000 0.2492 0.8154  1 N 1.19
N 0.3862 0.0000 0.6937  1 C 1.19
N 0.0000 0.3862 0.6937  1 C 1.19
N 0.3862 0.3862 0.3063  1 C 1.19
N 0.6138 0.6138 0.6937  1 C 1.19
N 0.0000 0.6138 0.3063  1 C 1.19
N 0.6138 0.0000 0.3063  1 C 1.19

Results
The density of states at the Fermi level is 0.00 states/eV per atom. The crystal system is trigonal. As for the total magnetic moment: 0.00 μB per formula unit. Its density is 4.122 Mg/m³. The uncorrected formation energy is 198 meV per atom.

=====

# 2
A relaxed structure of Ti4Si7Ni4. Source: Alexandria, functional PBEsol.

Cell lengths 4.8998, 9.1455, 9.1455 Å; angles 85.88, 74.46, 74.46 degrees
Closest atoms and distances in Å follow each position.
Positions (direct):
Ti 0.6900 0.8100 0.8100  7 Si 2.55-2.74
Ti 0.8656 0.0000 0.2689  7 Si 2.55-2.84
Ti 0.5000 0.8100 0.1900  7 Si 2.55-2.74
Ti 0.3100 0.1900 0.1900  7 Si 2.55-2.74
Ti 0.1344 0.0000 0.7311  7 Si 2.55-2.84
Ti 0.8656 0.2689 0.0000  7 Si 2.55-2.84
Ti 0.1344 0.7311 0.0000  7 Si 2.55-2.84
Ti 0.5000 0.1900 0.8100  7 Si 2.55-2.74
Si 0.2489 0.0000 0.0000  2 Si 2.44-2.46, 8 Ti 2.66-2.67
Si 0.7114 0.2886 0.2886  4 Ni 2.36, 2 Ti 2.55
Si 0.2956 0.0000 0.4088  4 Ni 2.31, 2 Ti 2.55
Si 0.7044 0.5912 0.0000  4 Ni 2.31, 2 Ti 2.55
Si 0.2956 0.4088 0.0000  4 Ni 2.31, 2 Ti 2.55
Si 0.7044 0.0000 0.5912  4 Ni 2.31, 2 Ti 2.55
Si 0.0000 0.7114 0.2886  4 Ni 2.36, 2 Ti 2.55
Si 0.0000 0.2886 0.7114  4 Ni 2.36, 2 Ti 2.55
Si 0.7511 0.0000 0.0000  2 Si 2.44-2.46, 8 Ti 2.66-2.67
Si 0.9062 0.5938 0.5938  4 Ni 2.33, 1 Si 2.34
Si 0.5000 0.4062 0.5938  4 Ni 2.33, 1 Si 2.34
Si 0.5000 0.5938 0.4062  4 Ni 2.33, 1 Si 2.34
Si 0.0938 0.4062 0.4062  4 Ni 2.33, 1 Si 2.34
Si 0.2886 0.7114 0.7114  4 Ni 2.36, 2 Ti 2.55
Ni 0.8989 0.2022 0.5000  6 Si 2.31-2.36, 2 Ni 2.45
Ni 0.6011 0.7978 0.5000  6 Si 2.31-2.36, 2 Ni 2.45
Ni 0.3989 0.5000 0.2022  6 Si 2.31-2.36, 2 Ni 2.45
Ni 0.8989 0.5000 0.2022  6 Si 2.31-2.36, 2 Ni 2.45
Ni 0.1011 0.7978 0.5000  6 Si 2.31-2.36, 2 Ni 2.45
Ni 0.3989 0.2022 0.5000  6 Si 2.31-2.36, 2 Ni 2.45
Ni 0.6011 0.5000 0.7978  6 Si 2.31-2.36, 2 Ni 2.45
Ni 0.1011 0.5000 0.7978  6 Si 2.31-2.36, 2 Ni 2.45

Results
The density of states at the Fermi level is 0.62 states/eV per atom. The crystal system is tetragonal. As for the total magnetic moment: 0.00 μB per formula unit. Its density is 5.438 Mg/m³. The uncorrected formation energy is -803 meV per atom.

=====

# 3
A relaxed structure of Sr2TaSb. Source: Alexandria, functional PBEsol.

Cell lengths 3.3940, 4.7139, 7.0047 Å; angles 90.00, 90.00, 90.00 degrees
Closest atoms and distances in Å follow each position.
Positions (direct):
Sb 0.5000 0.5000 0.5000  8 Sr 3.38, 2 Sb 3.39, 2 Ta 3.50
Sr 0.0000 0.0000 0.7456  4 Sb 3.38, 4 Sr 3.39-3.56, 4 Ta 3.41
Sr 0.0000 0.0000 0.2544  4 Sb 3.38, 4 Sr 3.39-3.56, 4 Ta 3.41
Ta 0.5000 0.5000 0.0000  2 Ta 3.39, 8 Sr 3.41, 2 Sb 3.50

Results
The density of states at the Fermi level is 0.91 states/eV per atom. The crystal system is orthorhombic. As for the total magnetic moment: 1.55 μB per formula unit. Its density is 7.082 Mg/m³. The uncorrected formation energy is 377 meV per atom.

=====

# 4
A relaxed structure of MgCoMo2. Source: Alexandria, functional PBEsol.

Cell lengths 3.6353, 3.6353, 5.0068 Å; angles 111.29, 111.29, 90.00 degrees
Closest atoms and distances in Å follow each position.
Positions (direct):
Co 0.5000 0.5000 0.0000  4 Mg 2.57, 8 Mo 2.81
Mg 0.0000 0.0000 0.0000  4 Co 2.57, 8 Mo 2.81
Mo 0.7500 0.2500 0.5000  4 Mo 2.57, 4 Co 2.81, 4 Mg 2.81
Mo 0.2500 0.7500 0.5000  4 Mo 2.57, 4 Co 2.81, 4 Mg 2.81

Results
The density of states at the Fermi level is 1.09 states/eV per atom. The crystal system is tetragonal. As for the total magnetic moment: 0.01 μB per formula unit. Its energy of formation is 0.311 eV per atom. Its density is 8.046 Mg/m³.

=====

# 5
A relaxed structure of Al17Cu12. Source: Alexandria, functional PBEsol.

Cell lengths 8.0287, 8.0287, 8.0287 Å; angles 109.47, 109.47, 109.47 degrees
Closest atoms and distances in Å follow each position.
Positions (direct):
Al 0.7190 0.4078 0.4078  5 Cu 2.51-2.69, 3 Al 2.67-2.76
Al 0.2810 0.6889 0.6889  5 Cu 2.51-2.69, 3 Al 2.67-2.76
Al 0.0000 0.3111 0.5922  5 Cu 2.51-2.69, 3 Al 2.67-2.76
Al 0.0000 0.5922 0.3111  5 Cu 2.51-2.69, 3 Al 2.67-2.76
Al 0.4078 0.7190 0.4078  5 Cu 2.51-2.69, 3 Al 2.67-2.76
Al 0.6889 0.2810 0.6889  5 Cu 2.51-2.69, 3 Al 2.67-2.76
Al 0.5922 0.0000 0.3111  5 Cu 2.51-2.69, 3 Al 2.67-2.76
Al 0.3111 0.0000 0.5922  5 Cu 2.51-2.69, 3 Al 2.67-2.76
Al 0.4078 0.4078 0.7190  5 Cu 2.51-2.69, 3 Al 2.67-2.76
Al 0.6889 0.6889 0.2810  5 Cu 2.51-2.69, 3 Al 2.67-2.76
Al 0.3111 0.5922 0.0000  5 Cu 2.51-2.69, 3 Al 2.67-2.76
Al 0.5922 0.3111 0.0000  5 Cu 2.51-2.69, 3 Al 2.67-2.76
Al 0.6682 0.6682 0.6682  4 Al 2.66-2.67, 6 Cu 2.73
Al 0.3318 0.0000 0.0000  4 Al 2.66-2.67, 6 Cu 2.73
Al 0.0000 0.0000 0.3318  4 Al 2.66-2.67, 6 Cu 2.73
Al 0.0000 0.3318 0.0000  4 Al 2.66-2.67, 6 Cu 2.73
Al 0.0000 0.0000 0.0000  4 Al 2.66, 12 Cu 2.92
Cu 0.1871 0.3796 0.3796  3 Cu 2.45-2.52, 7 Al 2.51-2.73
Cu 0.8129 0.1925 0.1925  3 Cu 2.45-2.52, 7 Al 2.51-2.73
Cu 0.0000 0.8075 0.6204  3 Cu 2.45-2.52, 7 Al 2.51-2.73
Cu 0.0000 0.6204 0.8075  3 Cu 2.45-2.52, 7 Al 2.51-2.73
Cu 0.3796 0.1871 0.3796  3 Cu 2.45-2.52, 7 Al 2.51-2.73
Cu 0.1925 0.8129 0.1925  3 Cu 2.45-2.52, 7 Al 2.51-2.73
Cu 0.6204 0.0000 0.8075  3 Cu 2.45-2.52, 7 Al 2.51-2.73
Cu 0.8075 0.0000 0.6204  3 Cu 2.45-2.52, 7 Al 2.51-2.73
Cu 0.3796 0.3796 0.1871  3 Cu 2.45-2.52, 7 Al 2.51-2.73
Cu 0.1925 0.1925 0.8129  3 Cu 2.45-2.52, 7 Al 2.51-2.73
Cu 0.8075 0.6204 0.0000  3 Cu 2.45-2.52, 7 Al 2.51-2.73
Cu 0.6204 0.8075 0.0000  3 Cu 2.45-2.52, 7 Al 2.51-2.73

Results
The density of states at the Fermi level is 0.34 states/eV per atom. The crystal system is cubic. As for the total magnetic moment: 0.00 μB per formula unit. Its energy of formation is -0.104 eV per atom. Its density is 5.090 Mg/m³.

=====

# 6
A relaxed structure of Sc2AgAu. Source: Alexandria, functional PBEsol.

Cell lengths 3.2804, 4.7585, 4.8519 Å; angles 90.00, 90.00, 90.00 degrees
Closest atoms and distances in Å follow each position.
Positions (direct):
Sc 0.0000 0.0000 0.1080  4 Ag 2.86-3.00, 4 Au 2.90
Sc 0.0000 0.5000 0.6430  4 Au 2.86-2.99, 4 Ag 2.90
Au 0.5000 0.5000 0.1593  8 Sc 2.86-2.99, 2 Ag 3.17
Ag 0.5000 0.0000 0.5897  8 Sc 2.86-3.00, 2 Au 3.17

Results
The density of states at the Fermi level is 0.79 states/eV per atom. The crystal system is orthorhombic. As for the total magnetic moment: 0.00 μB per formula unit. Its energy of formation is -0.569 eV per atom. Its density is 8.655 Mg/m³. The value obtained for the energy above the most stable polymorph in this dataset is 0.5 kJ/mol of atoms.

=====

# 7
A relaxed structure of NpAs. Source: Alexandria, functional PBEsol.

Cell lengths 4.0290, 4.0290, 4.0290 Å; angles 60.00, 60.00, 60.00 degrees
Closest atoms and distances in Å follow each position.
Positions (direct):
Np 0.5000 0.5000 0.5000  6 As 2.85
As 0.0000 0.0000 0.0000  6 Np 2.85

Results
The density of states at the Fermi level is 3.74 states/eV per atom. The crystal system is cubic. As for the total magnetic moment: 3.74 μB per formula unit. Its energy of formation is -0.435 eV per atom. Its density is 11.200 Mg/m³.

=====

# 8
A relaxed structure of BaCaTe. Source: Alexandria, functional PBEsol.

Cell lengths 4.0465, 4.0465, 7.6462 Å; angles 105.34, 105.34, 90.00 degrees
Closest atoms and distances in Å follow each position.
Positions (direct):
Ca 0.7065 0.7065 0.4131  4 Te 3.28
Te 0.3194 0.3194 0.6389  4 Ca 3.28, 4 Ba 3.60
Ba 0.9740 0.9740 0.9481  4 Te 3.60, 1 Ca 3.79

Results
The density of states at the Fermi level is 0.44 states/eV per atom. The crystal system is tetragonal. As for the total magnetic moment: 0.00 μB per formula unit. Its density is 4.362 Mg/m³. The value obtained for the energy above the most stable polymorph in this dataset is 0.0 kJ/mol of atoms. The uncorrected formation energy is -985 meV per atom.